# 1
BaSr2Hg SCAN PBEsol geometry; formation energy = -0.342 eV per atom; volume = 169.50 Å³ per cell; size of the total moment = 0.09 μB per formula unit
1.0
-2.061 3.113 6.605
2.061 -3.113 6.605
2.061 3.113 -6.605
Ba Sr Hg
1 2 1
Cartesian
0.000 0.000 0.000
2.061 0.000 4.058
0.000 3.113 2.548
0.000 0.000 6.605



# 2
Ba2SrHg SCAN PBEsol geometry; formation energy = -0.267 eV per atom; volume = 169.79 Å³ per cell; size of the total moment = 0.54 μB per formula unit
1.0
-2.108 3.063 6.575
2.108 -3.063 6.575
2.108 3.063 -6.575
Ba Sr Hg
2 1 1
Cartesian
0.000 0.000 2.642
0.000 0.000 10.509
0.000 3.063 0.000
2.108 0.000 0.000